# 1
Material: TlCo2Ge2
Method: DFT, PBE-GGA
State: optimized geometry

```
10
Lattice="-0.932 -0.894 5.171 2.893 -2.374 0.111 5.032 6.224 1.983" Properties=species:S:1:pos:R:3 pbc="T T T"
Ge 2.050 -0.247 4.447
Ge 1.820 2.316 2.102
Ge 4.943 3.202 2.818
Ge 2.280 3.014 5.052
Co 3.962 1.925 1.047
Co 4.625 2.939 5.462
Co 2.367 0.017 1.803
Co 3.496 1.478 3.632
Tl 0.000 0.000 0.000
Tl -0.466 -0.447 2.586
```


# 2
4
Lattice="0.726 -4.234 1.675 -3.802 -1.295 2.264 0.543 1.690 -4.256" Properties=species:S:1:pos:R:3 comment="LuNi3 | OQMD | PBE-GGA | optimized geometry" ef_kcal_per_mol_atoms=-6.2 pbc="T T T"
Ni -2.399 -1.185 -0.011
Ni -1.538 -2.765 1.970
Ni -0.135 -2.655 -0.306
Lu 0.000 0.000 0.000


# 3
Material: La2NdGe4Ir2Pd2
Method: DFT, PBE-GGA
State: optimized geometry

```
11
Lattice="6.397 6.882 9.098 1.110 9.744 8.653 -4.832 -10.125 -6.722" Properties=species:S:1:pos:R:3 pbc="T T T"
Ge -0.399 3.048 4.424
Ge 3.386 7.499 8.006
Ge 3.073 3.452 6.605
Ge 4.121 9.127 9.745
Pd 5.636 12.483 13.327
Pd 1.871 4.143 4.423
Ir -1.129 1.432 2.697
Ir 3.803 5.069 8.331
La 1.857 0.759 3.729
La 0.818 5.742 7.300
Nd 0.000 0.000 0.000
```


# 4
Material: Ag10Te4Br3
Method: DFT, PBE-GGA
State: optimized geometry

```
68
Lattice="7.766 -7.848 0.000 7.766 7.848 0.000 0.000 0.000 13.743" Properties=species:S:1:pos:R:3 pbc="T T T"
Te 7.766 6.058 0.786
Te 7.766 1.716 8.393
Te 6.330 -6.063 3.364
Te 7.766 1.908 12.740
Te 6.330 6.063 10.236
Te 9.202 -6.063 3.364
Te 10.578 2.057 3.573
Te 4.955 -2.057 10.444
Te 9.202 6.063 10.236
Te 7.766 5.806 6.418
Te 4.955 2.057 3.573
Te 7.766 -6.058 7.657
Te 7.766 -1.716 1.522
Te 7.766 -1.908 5.869
Te 7.766 -5.806 13.289
Te 10.578 -2.057 10.444
Ag 13.276 0.756 9.061
Ag 6.296 -1.078 8.132
Ag 6.338 -0.386 3.921
Ag 6.211 -3.990 8.772
Ag 9.194 0.386 10.793
Ag 9.194 -0.386 3.921
Ag 7.766 5.859 3.599
Ag 9.412 -1.524 13.032
Ag 6.120 -1.524 13.032
Ag 2.256 0.756 9.061
Ag 5.857 -3.719 1.896
Ag 9.676 3.719 8.767
Ag 13.636 0.360 12.028
Ag 6.290 -4.332 5.540
Ag 5.834 4.295 5.080
Ag 6.120 1.524 6.161
Ag 7.766 -5.859 10.470
Ag 9.412 1.524 6.161
Ag 7.766 2.345 3.841
Ag 9.699 -4.295 11.951
Ag 6.290 4.332 12.411
Ag 9.237 -1.078 8.132
Ag 9.322 -3.990 8.772
Ag 6.296 1.078 1.260
Ag 9.322 3.990 1.900
Ag 9.243 -4.332 5.540
Ag 5.834 -4.295 11.951
Ag 6.211 3.990 1.900
Ag 9.243 4.332 12.411
Ag 9.237 1.078 1.260
Ag 5.857 3.719 8.767
Ag 9.699 4.295 5.080
Ag 13.636 -0.360 5.156
Ag 13.276 -0.756 2.190
Ag 9.676 -3.719 1.896
Ag 6.338 0.386 10.793
Ag 2.256 -0.756 2.190
Ag 1.896 -0.360 5.156
Ag 1.896 0.360 12.028
Ag 7.766 -2.345 10.713
Br 4.180 2.069 10.505
Br 3.874 0.003 0.125
Br 4.180 -2.069 3.634
Br 3.982 -3.895 6.990
Br 11.353 2.069 10.505
Br 11.659 0.003 0.125
Br 3.982 3.895 0.119
Br 3.874 -0.003 6.997
Br 11.659 -0.003 6.997
Br 11.551 3.895 0.119
Br 11.353 -2.069 3.634
Br 11.551 -3.895 6.990
```


# 5
Material: TbNdPb2Au2
Method: DFT, PBE-GGA
State: optimized geometry

```
6
Lattice="-4.135 1.597 1.927 0.090 -1.564 -4.573 -1.621 -7.083 2.391" Properties=species:S:1:pos:R:3 pbc="T T T"
Au -2.990 -0.607 0.149
Au -2.418 -5.312 -0.785
Pb -1.758 -2.430 -1.758
Pb -3.983 -4.945 1.613
Tb -0.001 -0.006 0.002
Nd -0.809 -3.532 1.192
```


Computed final energy, in the same sequence as the records: -5.005 -5.575 -6.405 -2.867 -4.533 eV/atom.
Computed ρ, in the same sequence as the records: 9.44 10.61 9.41 7.25 11.93 g/cm3.